TlInSn2Ru | PBE | optimized geometry

The calculation puts the formation energy at 0.0651 eV/atom. The value obtained for the density of states at the Fermi level is 4.4 states/eV/f.u. The calculation puts the volume at 139 Å³ per cell.

The structure belongs to space group P4/mmm (No. 123); the cell edges are 5.145, 5.145 and 5.242 Å and the angles 90.00°, 90.00° and 90.00°. The distinct sites, in fractional coordinates, are Tl at (0.000, 0.000, 0.000), In at (0.500, 0.500, 0.000), Sn at (0.000, 0.500, 0.500) and Ru at (0.500, 0.500, 0.500).

SrInRu | PBE | optimized geometry

The calculation puts the formation energy at 1.1332 eV/atom. The value obtained for the density of states at the Fermi level is 9.8 states/eV/f.u. The calculation puts the volume at 361 Å³ per cell.

The structure belongs to space group F-43m (No. 216); the cell edges are 7.119, 7.119 and 7.119 Å and the angles 90.00°, 90.00° and 90.00°. The distinct sites, in fractional coordinates, are Sr at (0.000, 0.000, 0.000), In at (0.250, 0.250, 0.750) and Ru at (0.250, 0.250, 0.250).